First-principles (PBE) data for an optimized crystal structure of Sm2Si4Pt3Rh, as listed in Alexandria.

Results
Final energy ... -0.4984 Ry/atom
DOS(E_F) ... 5.800 states/eV/f.u.
M_tot ... 0.00 μB per atom

Structure (extended XYZ):
```
10
Lattice="-3.855 1.627 -0.251 -0.017 -0.678 -4.136 -3.916 -9.050 1.501" Properties=species:S:1:pos:R:3 pbc="T T T"
Pt -5.357 -7.112 1.189
Pt -0.495 -1.464 -1.882
Pt -1.958 -4.525 0.750
Rh -3.894 -4.051 -1.443
Sm -2.889 -1.409 0.243
Sm -2.963 -7.167 -0.936
Si -1.936 0.474 -2.194
Si 0.000 0.000 0.000
Si -1.450 -3.671 -1.516
Si -4.402 -4.905 0.823
```